Density functional theory data (PBE with a Hubbard U) for a relaxed CsK2MnF6 crystal.

Computed properties:
VASP energy in eV per atom: -4.7631
DOS at the Fermi energy in states/eV/f.u.: 0.0
Space group: No. 14

Cell: 6.239 6.781 10.847 Å, 90.00 124.05 90.00°
Positions (direct):
Cs  0.000  0.000  0.000
Cs  0.000  0.500  0.500
K  0.220  0.028  0.728
K  0.220  0.472  0.228
K  0.780  0.528  0.772
K  0.780  0.972  0.272
Mn  0.500  0.000  0.500
Mn  0.500  0.500  0.000
F  0.219  0.146  0.482
F  0.219  0.354  0.982
F  0.256  0.718  0.891
F  0.256  0.782  0.391
F  0.426  0.113  0.315
F  0.426  0.387  0.815
F  0.574  0.613  0.185
F  0.574  0.887  0.685
F  0.744  0.218  0.609
F  0.744  0.282  0.109
F  0.781  0.646  0.018
F  0.781  0.854  0.518